(1)
ZrSc | PBE | optimized geometry

* theoretical density: 4.831 g cm⁻³
* energy of formation from the pure elements: -1.1 kJ/mol of atoms
* total magnetic moment: 0.30 μB/cell

abc: 6.5071 6.5071 5.1062
angles: 90.00 90.00 120.00
With the nearest neighbours (Å) after each atom.
Atoms (fractional coordinates):
Zr 0.0000 0.0000 0.0000  6 Zr 3.15, 6 Sc 3.25
Zr 0.1644 0.3287 0.5000  6 Zr 3.15-3.30, 6 Sc 3.17-3.25
Zr 0.1644 0.8356 0.5000  6 Zr 3.15-3.30, 6 Sc 3.17-3.25
Zr 0.6713 0.8356 0.5000  6 Zr 3.15-3.30, 6 Sc 3.17-3.25
Sc 0.0055 0.5027 0.0000  6 Zr 3.17-3.25, 6 Sc 3.19-3.31
Sc 0.4973 0.5027 0.0000  6 Zr 3.17-3.25, 6 Sc 3.19-3.31
Sc 0.4973 0.9945 0.0000  6 Zr 3.17-3.25, 6 Sc 3.19-3.31
Sc 0.6667 0.3333 0.5000  6 Sc 3.19, 6 Zr 3.25


(2)
ZrTcGe | PBE | optimized geometry

* theoretical density: 7.502 g cm⁻³
* E above lowest polymorph: 686 meV per atom
* total magnetic moment: 1.24 μB/cell

abc: 4.3439 4.3439 4.3439
angles: 60.00 60.00 60.00
With the nearest neighbours (Å) after each atom.
Atoms (fractional coordinates):
Zr 0.0000 0.0000 0.0000  4 Ge 2.66
Tc 0.5000 0.5000 0.5000  4 Ge 2.66
Ge 0.7500 0.7500 0.7500  4 Zr 2.66, 4 Tc 2.66


(3)
Cd2AgHg | PBE | optimized geometry

* theoretical density: 10.627 g cm⁻³
* energy of formation from the pure elements: 4.2 kJ/mol of atoms

abc: 4.9027 4.9027 4.9027
angles: 60.00 60.00 60.00
With the nearest neighbours (Å) after each atom.
Atoms (fractional coordinates):
Cd 0.0000 0.0000 0.0000  4 Cd 3.00, 4 Ag 3.00
Cd 0.2500 0.2500 0.2500  4 Hg 3.00, 4 Cd 3.00
Ag 0.7500 0.7500 0.7500  4 Cd 3.00, 4 Hg 3.00
Hg 0.5000 0.5000 0.5000  4 Ag 3.00, 4 Cd 3.00


(4)
Ac2TlAu2 | PBE | optimized geometry

* theoretical density: 11.739 g cm⁻³
* E: -41.656 eV for the cell shown
* total magnetic moment: 0.00 μB/cell

abc: 8.4949 8.4949 4.1254
angles: 90.00 90.00 90.00
With the nearest neighbours (Å) after each atom.
Atoms (fractional coordinates):
Ac 0.1753 0.3247 0.0000  6 Au 3.18-3.30
Ac 0.3247 0.8247 0.0000  6 Au 3.18-3.30
Ac 0.6753 0.1753 0.0000  6 Au 3.18-3.30
Ac 0.8247 0.6753 0.0000  6 Au 3.18-3.30
Tl 0.0000 0.0000 0.5000  4 Au 3.37, 8 Ac 3.75
Tl 0.5000 0.5000 0.5000  4 Au 3.37, 8 Ac 3.75
Au 0.1233 0.6233 0.5000  1 Au 2.96, 6 Ac 3.18-3.30
Au 0.3767 0.1233 0.5000  1 Au 2.96, 6 Ac 3.18-3.30
Au 0.6233 0.8767 0.5000  1 Au 2.96, 6 Ac 3.18-3.30
Au 0.8767 0.3767 0.5000  1 Au 2.96, 6 Ac 3.18-3.30


(5)
Zr4Ta2As3N3 | PBE | optimized geometry

* theoretical density: 8.999 g cm⁻³
* E: -220.470 eV for the cell shown
* total magnetic moment: 0.00 μB/cell

abc: 5.8973 5.8973 12.6376
angles: 103.46 103.46 60.02
With the nearest neighbours (Å) after each atom.
Atoms (fractional coordinates):
Zr 0.0317 0.2005 0.0987  3 N 2.30-2.31
Zr 0.1343 0.3002 0.4011  3 N 2.30
Zr 0.2005 0.0317 0.5987  3 N 2.30-2.31
Zr 0.3002 0.1343 0.9011  3 N 2.30
Zr 0.6998 0.8657 0.0989  3 N 2.30
Zr 0.7995 0.9683 0.4013  3 N 2.30-2.31
Zr 0.8657 0.6998 0.5989  3 N 2.30
Zr 0.9683 0.7995 0.9013  3 N 2.30-2.31
Ta 0.3640 0.5293 0.0868  3 N 2.23-2.24
Ta 0.4707 0.6360 0.4132  3 N 2.23-2.24
Ta 0.5293 0.3640 0.5868  3 N 2.23-2.24
Ta 0.6360 0.4707 0.9132  3 N 2.23-2.24
As 0.1030 0.8970 0.2500  2 Ta 2.72, 4 Zr 2.74
As 0.2702 0.4164 0.7498  2 Ta 2.71, 4 Zr 2.74
As 0.4164 0.2702 0.2498  2 Ta 2.71, 4 Zr 2.74
As 0.5836 0.7298 0.7502  2 Ta 2.71, 4 Zr 2.74
As 0.7298 0.5836 0.2502  2 Ta 2.71, 4 Zr 2.74
As 0.8970 0.1030 0.7500  2 Ta 2.72, 4 Zr 2.74
N 0.0000 0.5000 0.0000  2 Ta 2.24, 4 Zr 2.30
N 0.1661 0.6667 0.5000  2 Ta 2.23, 4 Zr 2.30-2.31
N 0.3333 0.8339 0.0000  2 Ta 2.23, 4 Zr 2.30-2.31
N 0.5000 0.0000 0.5000  2 Ta 2.24, 4 Zr 2.30
N 0.6667 0.1661 0.0000  2 Ta 2.23, 4 Zr 2.30-2.31
N 0.8339 0.3333 0.5000  2 Ta 2.23, 4 Zr 2.30-2.31


(6)
FeReBPt | PBE | optimized geometry

* theoretical density: 14.948 g cm⁻³
* E above lowest polymorph: 0 meV per atom
* total magnetic moment: 0.85 μB/cell

abc: 4.1286 4.1286 4.1286
angles: 60.00 60.00 60.00
With the nearest neighbours (Å) after each atom.
Atoms (fractional coordinates):
Fe 0.0000 0.0000 0.0000  4 B 2.53, 4 Pt 2.53
Re 0.5000 0.5000 0.5000  4 B 2.53, 4 Pt 2.53
B 0.7500 0.7500 0.7500  4 Re 2.53, 4 Fe 2.53
Pt 0.2500 0.2500 0.2500  4 Re 2.53, 4 Fe 2.53